# 1
Density functional theory data (PBE+U) for Ac2ErFeO6 after structural relaxation. Values from VASP.

```
&SYSTEM
  ibrav = 0, nat = 20, ntyp = 4
/
ATOMIC_SPECIES
Ac 227.00 Ac.upf
Er 167.26 Er.upf
Fe 55.84 Fe.upf
O 16.00 O.upf
CELL_PARAMETERS angstrom
5.811 0.000 0.000
0.000 5.834 0.000
-5.745 0.000 8.231
ATOMIC_POSITIONS angstrom
Ac -0.033 0.191 2.048
Ac -2.905 2.726 6.163
Ac 2.971 3.108 2.068
Ac 0.099 5.643 6.183
Er 2.906 0.000 0.000
Er 0.033 2.917 4.115
Fe -2.873 0.000 4.115
Fe 0.000 2.917 0.000
O -4.566 1.335 7.886
O -1.694 1.582 3.771
O -4.187 4.116 7.887
O -1.314 4.635 3.772
O -2.411 0.111 6.066
O 0.462 2.806 1.950
O -0.396 3.027 6.281
O 2.476 5.723 2.165
O 1.380 1.199 4.459
O 4.252 1.718 0.343
O 1.760 4.252 4.460
O 4.632 4.498 0.344
```

=====

# 2
Density functional theory data (PBE+U) for AcErFe2O6 after structural relaxation. Values from VASP.

```
&SYSTEM
  ibrav = 0, nat = 10, ntyp = 4
/
ATOMIC_SPECIES
Ac 227.00 Ac.upf
Er 167.26 Er.upf
Fe 55.84 Fe.upf
O 16.00 O.upf
CELL_PARAMETERS angstrom
5.494 0.000 0.000
2.738 4.799 0.000
2.727 1.624 4.527
ATOMIC_POSITIONS angstrom
Ac 0.000 0.000 0.000
Er 5.465 3.028 2.161
Fe 2.722 1.594 1.140
Fe 8.201 4.794 3.396
O 3.130 3.079 2.434
O 5.267 1.888 4.193
O 6.517 5.054 2.245
O 4.331 2.323 0.293
O 6.611 1.039 2.124
O 6.924 2.763 0.204
```

=====

Here are the calculated total DFT energy (no corrections) numbers, same order: -0.5599 -0.5370 (Ry/atom).
Here are the calculated N(E_F) numbers, same order: 0.00 0.00 (states/eV/atom).